This record from Alexandria via LeMat-Bulk describes FeRh2O6 after structural relaxation. The functional is PBE+U.

Values from the calculation:
Crystal system: trigonal
Density of states at the Fermi level (states/eV/cell): 7.940
Distance to the lowest polymorph of the same formula (meV per atom): 0

a = 5.038 Å, b = 5.038 Å, c = 4.416 Å
α = 90.00°, β = 90.00°, γ = 120.00°
Fractional coordinates of all 9 atoms:
Fe (0.000, 0.000, 0.000)
Rh (0.333, 0.667, 0.500)
Rh (0.667, 0.333, 0.500)
O (0.000, 0.343, 0.751)
O (0.000, 0.657, 0.249)
O (0.343, 0.000, 0.751)
O (0.343, 0.343, 0.249)
O (0.657, 0.000, 0.249)
O (0.657, 0.657, 0.751)